1.
Density functional theory data (PBE-GGA) for a relaxed structure of Li2AlBr.

a = 8.7579 Å, b = 8.7579 Å, c = 8.7579 Å
α = 23.01°, β = 23.01°, γ = 23.01°
With the nearest neighbours (Å) after each atom.
Fractional coordinates of all 4 atoms:
Al1 0.5026 0.5026 0.5026  3 Li 2.78
Br1 0.7379 0.7379 0.7379  3 Li 2.47
Li1 0.0156 0.0156 0.0156  3 Br 2.47
Li2 0.2439 0.2439 0.2439  3 Al 2.78

Summary:
calculated total energy: -2.601 eV/atom
ΔE_f (raw): -0.290 eV/atom
total moment: 0.0 Bohr magnetons per cell



2.
Density functional theory data (PBE-GGA) for a relaxed structure of Li2AlBr6.

a = 7.1934 Å, b = 10.2247 Å, c = 10.2247 Å
α = 83.90°, β = 66.35°, γ = 66.35°
With the nearest neighbours (Å) after each atom.
Fractional coordinates of all 18 atoms:
Li1 0.0966 0.6216 0.7660  4 Br 2.49-2.63
Li2 0.4034 0.2340 0.3784  4 Br 2.49-2.63
Li3 0.9034 0.3784 0.2340  4 Br 2.49-2.63
Li4 0.5966 0.7660 0.6216  4 Br 2.49-2.63
Al1 0.2500 0.1992 0.8008  4 Br 2.33-2.34
Al2 0.7500 0.8008 0.1992  4 Br 2.33-2.34
Br1 0.2747 0.7672 0.5830  2 Li 2.49-2.53
Br2 0.2253 0.4170 0.2328  2 Li 2.49-2.53
Br3 0.7253 0.2328 0.4170  2 Li 2.49-2.53
Br4 0.7747 0.5830 0.7672  2 Li 2.49-2.53
Br5 0.8947 0.7802 0.3725  1 Al 2.34
Br6 0.6053 0.6275 0.2198  1 Al 2.34
Br7 0.1053 0.2198 0.6275  1 Al 2.34
Br8 0.3947 0.3725 0.7802  1 Al 2.34
Br9 0.0410 0.7746 0.9793  1 Al 2.33
Br10 0.4590 0.0207 0.2254  1 Al 2.33
Br11 0.9590 0.2254 0.0207  1 Al 2.33
Br12 0.5410 0.9793 0.7746  1 Al 2.33

Summary:
calculated total energy: -3.020 eV/atom
ΔE_f (raw): -1.063 eV/atom
total moment: 2.1 Bohr magnetons per cell



3.
Density functional theory data (PBE-GGA) for a relaxed structure of Li2AlBr.

a = 3.2758 Å, b = 3.2758 Å, c = 7.3345 Å
α = 90.00°, β = 90.00°, γ = 90.00°
With the nearest neighbours (Å) after each atom.
Fractional coordinates of all 4 atoms:
Al1 0.5000 0.5000 0.2500  8 Li 3.08, 4 Al 3.28
Br1 0.5000 0.5000 0.7500  8 Li 2.83
Li1 0.0000 0.0000 0.9727  4 Br 2.83, 4 Al 3.08
Li2 0.0000 0.0000 0.5273  4 Br 2.83, 4 Al 3.08

Summary:
calculated total energy: -2.798 eV/atom
ΔE_f (raw): -0.487 eV/atom
total moment: 0.0 Bohr magnetons per cell



4.
Density functional theory data (PBE-GGA) for a relaxed structure of Li2AlBr.

a = 3.4447 Å, b = 3.4447 Å, c = 8.2861 Å
α = 78.19°, β = 78.19°, γ = 59.99°
With the nearest neighbours (Å) after each atom.
Fractional coordinates of all 4 atoms:
Al1 0.7500 0.7500 0.7500  6 Li 3.07-3.08
Br1 0.2500 0.2500 0.2500  6 Li 2.60
Li1 0.9851 0.9851 0.0415  3 Br 2.60
Li2 0.5149 0.5149 0.4585  3 Br 2.60

Summary:
calculated total energy: -2.840 eV/atom
ΔE_f (raw): -0.529 eV/atom
total moment: 0.0 Bohr magnetons per cell



Question: The highest total moment belongs to which entry?
Answer: Li2AlBr6